Entry 1:
# LaZnGa2Rh, relaxed, DFT GGA-PBE
# Energy of formation from the pure elements in eV/f.u.: -2.602
# Space-group type: No. 123
# V in Å³ per cell: 108.2
# E_tot in eV per atom: -4.44
data_LaZnGa2Rh
_chemical_formula_sum 'La1 Zn1 Ga2 Rh1'
_symmetry_space_group_name_H-M 'P 1'
_symmetry_Int_Tables_number 1
_cell_length_a 4.7451
_cell_length_b 4.7451
_cell_length_c 4.8057
_cell_angle_alpha 90.00
_cell_angle_beta 90.00
_cell_angle_gamma 90.00
loop_
_symmetry_equiv_pos_as_xyz
'x,y,z'
loop_
_atom_site_label
_atom_site_fract_x
_atom_site_fract_y
_atom_site_fract_z
La1 0.0000 0.0000 0.0000
Zn1 0.5000 0.5000 0.0000
Ga1 0.0000 0.5000 0.5000
Ga2 0.5000 0.0000 0.5000
Rh1 0.5000 0.5000 0.5000

=====

Entry 2:
# LaZn2GaRh, relaxed, DFT GGA-PBE
# Energy of formation from the pure elements in eV/f.u.: -2.454
# Space-group type: No. 44
# V in Å³ per cell: 97.6
# E_tot in eV per atom: -4.06
data_LaZn2GaRh
_chemical_formula_sum 'La1 Zn2 Ga1 Rh1'
_symmetry_space_group_name_H-M 'P 1'
_symmetry_Int_Tables_number 1
_cell_length_a 5.8589
_cell_length_b 5.8589
_cell_length_c 5.8589
_cell_angle_alpha 136.28
_cell_angle_beta 134.57
_cell_angle_gamma 64.88
loop_
_symmetry_equiv_pos_as_xyz
'x,y,z'
loop_
_atom_site_label
_atom_site_fract_x
_atom_site_fract_y
_atom_site_fract_z
La1 0.0000 0.0000 0.0000
Zn1 0.3647 0.3647 0.0000
Zn2 0.7497 0.2497 0.5000
Ga1 0.6198 0.6198 0.0000
Rh1 0.2290 0.7290 0.5000

=====

Entry 3:
# La2Zn4Ga3Rh, relaxed, DFT GGA-PBE
# Energy of formation from the pure elements in eV/f.u.: -4.881
# Space-group type: No. 115
# V in Å³ per cell: 196.7
# E_tot in eV per atom: -3.63
data_La2Zn4Ga3Rh
_chemical_formula_sum 'La2 Zn4 Ga3 Rh1'
_symmetry_space_group_name_H-M 'P 1'
_symmetry_Int_Tables_number 1
_cell_length_a 4.3607
_cell_length_b 4.3607
_cell_length_c 10.3415
_cell_angle_alpha 90.00
_cell_angle_beta 90.00
_cell_angle_gamma 90.00
loop_
_symmetry_equiv_pos_as_xyz
'x,y,z'
loop_
_atom_site_label
_atom_site_fract_x
_atom_site_fract_y
_atom_site_fract_z
La1 0.0000 0.5000 0.2410
La2 0.5000 0.0000 0.7590
Zn1 0.0000 0.0000 0.5000
Zn2 0.0000 0.5000 0.8735
Zn3 0.5000 0.0000 0.1265
Zn4 0.5000 0.5000 0.5000
Ga1 0.0000 0.0000 0.0000
Ga2 0.0000 0.5000 0.6336
Ga3 0.5000 0.0000 0.3664
Rh1 0.5000 0.5000 0.0000

=====

Entry 4:
# La2Ga2Ru, relaxed, DFT GGA-PBE
# Energy of formation from the pure elements in eV/f.u.: -2.720
# Space-group type: No. 12
# V in Å³ per cell: 235.3
# E_tot in eV per atom: -5.58
data_La2Ga2Ru
_chemical_formula_sum 'La4 Ga4 Ru2'
_symmetry_space_group_name_H-M 'P 1'
_symmetry_Int_Tables_number 1
_cell_length_a 5.7978
_cell_length_b 5.7978
_cell_length_c 10.5893
_cell_angle_alpha 113.36
_cell_angle_beta 113.36
_cell_angle_gamma 47.15
loop_
_symmetry_equiv_pos_as_xyz
'x,y,z'
loop_
_atom_site_label
_atom_site_fract_x
_atom_site_fract_y
_atom_site_fract_z
La1 0.0885 0.0885 0.3871
La2 0.3290 0.3290 0.8280
La3 0.6710 0.6710 0.1720
La4 0.9115 0.9115 0.6129
Ga1 0.0874 0.0874 0.9349
Ga2 0.3857 0.3857 0.3759
Ga3 0.6143 0.6143 0.6241
Ga4 0.9126 0.9126 0.0651
Ru1 0.3441 0.3441 0.1171
Ru2 0.6559 0.6559 0.8829

=====

Entry 5:
# La2GaRu, relaxed, DFT GGA-PBE
# Energy of formation from the pure elements in eV/f.u.: -1.813
# Space-group type: No. 11
# V in Å³ per cell: 207.0
# E_tot in eV per atom: -5.99
data_La2GaRu
_chemical_formula_sum 'La4 Ga2 Ru2'
_symmetry_space_group_name_H-M 'P 1'
_symmetry_Int_Tables_number 1
_cell_length_a 6.3168
_cell_length_b 3.9346
_cell_length_c 8.9052
_cell_angle_alpha 90.00
_cell_angle_beta 110.70
_cell_angle_gamma 90.00
loop_
_symmetry_equiv_pos_as_xyz
'x,y,z'
loop_
_atom_site_label
_atom_site_fract_x
_atom_site_fract_y
_atom_site_fract_z
La1 0.2142 0.2500 0.4084
La2 0.2247 0.2500 0.9519
La3 0.7753 0.7500 0.0481
La4 0.7858 0.7500 0.5916
Ga1 0.3721 0.7500 0.7152
Ga2 0.6279 0.2500 0.2848
Ru1 0.3235 0.7500 0.2131
Ru2 0.6765 0.2500 0.7869

=====

Entry 6:
# LaGa2Ru, relaxed, DFT GGA-PBE
# Energy of formation from the pure elements in eV/f.u.: -1.949
# Space-group type: No. 166
# V in Å³ per cell: 84.9
# E_tot in eV per atom: -5.55
data_LaGa2Ru
_chemical_formula_sum 'La1 Ga2 Ru1'
_symmetry_space_group_name_H-M 'P 1'
_symmetry_Int_Tables_number 1
_cell_length_a 5.8793
_cell_length_b 5.8793
_cell_length_c 5.8793
_cell_angle_alpha 42.78
_cell_angle_beta 42.78
_cell_angle_gamma 42.78
loop_
_symmetry_equiv_pos_as_xyz
'x,y,z'
loop_
_atom_site_label
_atom_site_fract_x
_atom_site_fract_y
_atom_site_fract_z
La1 0.0000 0.0000 0.0000
Ga1 0.2096 0.2096 0.2096
Ga2 0.7904 0.7904 0.7904
Ru1 0.5000 0.5000 0.5000

=====

Entry 7:
# La6GaRu3, relaxed, DFT GGA-PBE
# Energy of formation from the pure elements in eV/f.u.: -2.687
# Space-group type: No. 11
# V in Å³ per cell: 565.1
# E_tot in eV per atom: -6.31
data_La6GaRu3
_chemical_formula_sum 'La12 Ga2 Ru6'
_symmetry_space_group_name_H-M 'P 1'
_symmetry_Int_Tables_number 1
_cell_length_a 10.6630
_cell_length_b 4.5168
_cell_length_c 12.5308
_cell_angle_alpha 90.00
_cell_angle_beta 110.55
_cell_angle_gamma 90.00
loop_
_symmetry_equiv_pos_as_xyz
'x,y,z'
loop_
_atom_site_label
_atom_site_fract_x
_atom_site_fract_y
_atom_site_fract_z
La1 0.0126 0.2500 0.3910
La2 0.0851 0.2500 0.9298
La3 0.2269 0.7500 0.3080
La4 0.3362 0.7500 0.8014
La5 0.3699 0.7500 0.0942
La6 0.3771 0.2500 0.5695
La7 0.6229 0.7500 0.4305
La8 0.6301 0.2500 0.9058
La9 0.6638 0.2500 0.1986
La10 0.7731 0.2500 0.6920
La11 0.9149 0.7500 0.0702
La12 0.9874 0.7500 0.6090
Ga1 0.4111 0.2500 0.2872
Ga2 0.5889 0.7500 0.7128
Ru1 0.1057 0.2500 0.1804
Ru2 0.1919 0.7500 0.5263
Ru3 0.3907 0.2500 0.9507
Ru4 0.6093 0.7500 0.0493
Ru5 0.8081 0.2500 0.4737
Ru6 0.8943 0.7500 0.8196

=====

Entry 8:
# La8GaRu2, relaxed, DFT GGA-PBE
# Energy of formation from the pure elements in eV/f.u.: -2.030
# Space-group type: No. 12
# V in Å³ per cell: 340.3
# E_tot in eV per atom: -5.73
data_La8GaRu2
_chemical_formula_sum 'La8 Ga1 Ru2'
_symmetry_space_group_name_H-M 'P 1'
_symmetry_Int_Tables_number 1
_cell_length_a 8.2625
_cell_length_b 8.2625
_cell_length_c 5.8114
_cell_angle_alpha 98.73
_cell_angle_beta 98.73
_cell_angle_gamma 116.39
loop_
_symmetry_equiv_pos_as_xyz
'x,y,z'
loop_
_atom_site_label
_atom_site_fract_x
_atom_site_fract_y
_atom_site_fract_z
La1 0.0854 0.3344 0.5556
La2 0.2386 0.7614 0.0000
La3 0.3344 0.0854 0.5556
La4 0.3910 0.3910 0.1918
La5 0.6090 0.6090 0.8082
La6 0.6656 0.9146 0.4444
La7 0.7614 0.2386 0.0000
La8 0.9146 0.6656 0.4444
Ga1 0.0000 0.0000 0.0000
Ru1 0.2818 0.7182 0.5000
Ru2 0.7182 0.2818 0.5000

=====

The highest E_tot belongs to which entry? La2Zn4Ga3Rh